Entry from Alexandria via LeMat-Bulk: KMnF3 after structural relaxation (PBE+U).

Electronic total energy, eV/atom: -5.541
Calculated density, g cm⁻³: 3.084

Cell and atoms, written as POSCAR:
```
KMnF3
1.0
-2.1638 -2.0496 1.6161
6.4684 -8.0857 -1.5943
4.2116 1.8058 7.9292
K F Mn
4 12 4
direct
0.7500 0.3180 0.4821
0.7500 0.8180 0.0179
0.2500 0.6820 0.5179
0.2500 0.1820 0.9821
0.2500 0.3628 0.2138
0.7500 0.4039 0.9401
0.2500 0.8628 0.2862
0.7500 0.0642 0.1403
0.7500 0.6372 0.7862
0.7500 0.9039 0.5599
0.2500 0.5961 0.0599
0.7500 0.1372 0.7138
0.2500 0.4358 0.6403
0.2500 0.0961 0.4401
0.7500 0.5642 0.3597
0.2500 0.9358 0.8597
0.7500 0.9819 0.3382
0.2500 0.5181 0.8382
0.2500 0.0181 0.6618
0.7500 0.4819 0.1618
```